No. 1
# V4Tc3W

An optimized crystal structure of V4Tc3W (PBE, Alexandria via LeMat-Bulk).

Cell: 3.041 3.041 12.186 Å, 90.00 90.00 90.00°
Fractional positions:
V1 0.000 0.000 0.128
V2 0.000 0.000 0.872
V3 0.000 0.000 0.376
V4 0.000 0.000 0.624
W1 0.500 0.500 0.000
Tc1 0.500 0.500 0.252
Tc2 0.500 0.500 0.748
Tc3 0.500 0.500 0.500

Results
Total magnetic moment   0.000 μB per cell
ΔE_f   -302 meV/atom
Space group   P4/mmm (123)
Uncorrected energy   -82.94 eV/cell

---

No. 2
# SmCdAu4

An optimized crystal structure of SmCdAu4 (PBE, Alexandria via LeMat-Bulk).

Cell: 4.734 4.750 8.131 Å, 107.05 73.08 60.11°
Fractional positions:
Sm1 0.500 0.500 0.500
Au1 0.429 0.905 0.237
Au2 0.096 0.571 0.238
Au3 0.904 0.429 0.762
Au4 0.571 0.095 0.763
Cd1 0.000 0.000 0.000

Results
Total magnetic moment   0.000 μB per cell
ΔE_f   -475 meV/atom
Space group   C2/m (12)
Uncorrected energy   -21.59 eV/cell
Polymorph energy (0 for the lowest one)   0 meV per atom

---

No. 3
# KIn2BiPd

An optimized crystal structure of KIn2BiPd (PBE, Alexandria via LeMat-Bulk).

Cell: 5.247 5.247 5.750 Å, 90.00 90.00 90.00°
Fractional positions:
Pd1 0.000 0.000 0.000
Bi1 0.000 0.000 0.500
In1 0.000 0.500 0.000
In2 0.500 0.000 0.000
K1 0.500 0.500 0.500

Results
Total magnetic moment   0.000 μB per cell
ΔE_f   -150 meV/atom
Space group   P4/mmm (123)
Uncorrected energy   -16.40 eV/cell

---

No. 4
# Rb3Li2TmI8

An optimized crystal structure of Rb3Li2TmI8 (PBE, Alexandria via LeMat-Bulk).

Cell: 8.416 8.416 10.497 Å, 90.00 90.00 120.00°
Fractional positions:
I1 0.333 0.667 0.948
I2 0.328 0.164 0.671
I3 0.836 0.672 0.671
I4 0.672 0.836 0.329
I5 0.836 0.164 0.671
I6 0.164 0.836 0.329
I7 0.164 0.328 0.329
I8 0.667 0.333 0.052
Li1 0.667 0.333 0.806
Li2 0.333 0.667 0.194
Rb1 0.667 0.333 0.382
Rb2 0.000 0.000 0.000
Rb3 0.333 0.667 0.618
Tm1 0.000 0.000 0.500

Results
Total magnetic moment   0.000 μB per cell
Space group   P-3m1 (164)
Uncorrected energy   -42.11 eV/cell
Energy relative to the elements, uncorrected   -18.5 eV per formula unit

---

No. 5
# HgAs2CBr

An optimized crystal structure of HgAs2CBr (PBE, Alexandria via LeMat-Bulk).

Cell: 4.374 4.374 5.435 Å, 90.00 90.00 90.00°
Fractional positions:
Br1 0.000 0.000 0.500
C1 0.000 0.000 0.000
As1 0.000 0.500 0.000
As2 0.500 0.000 0.000
Hg1 0.500 0.500 0.500

Results
Total magnetic moment   0.000 μB per cell
Space group   P4/mmm (123)
Uncorrected energy   -14.84 eV/cell
Polymorph energy (0 for the lowest one)   0 meV per atom
Energy relative to the elements, uncorrected   5.7 eV per formula unit

---

No. 6
# Pu2TiZn

An optimized crystal structure of Pu2TiZn (PBE, Alexandria via LeMat-Bulk).

Cell: 4.628 4.158 4.158 Å, 90.00 90.00 90.00°
Fractional positions:
Zn1 0.500 0.500 0.500
Pu1 0.000 0.000 0.500
Pu2 0.000 0.500 0.000
Ti1 0.500 0.000 0.000

Results
Total magnetic moment   10.029 μB per cell
ΔE_f   77 meV/atom
Space group   P4/mmm (123)
Uncorrected energy   -37.52 eV/cell
Polymorph energy (0 for the lowest one)   0 meV per atom

---

No. 7
# Pr3Tl2Cd

An optimized crystal structure of Pr3Tl2Cd (PBE, Alexandria via LeMat-Bulk).

Cell: 5.540 5.540 13.601 Å, 90.00 90.00 120.00°
Fractional positions:
Tl1 0.333 0.667 0.171
Tl2 0.667 0.333 0.829
Tl3 0.000 0.000 0.500
Tl4 0.000 0.000 0.000
Pr1 0.333 0.667 0.916
Pr2 0.667 0.333 0.084
Pr3 0.000 0.000 0.252
Pr4 0.000 0.000 0.748
Pr5 0.333 0.667 0.418
Pr6 0.667 0.333 0.582
Cd1 0.667 0.333 0.332
Cd2 0.333 0.667 0.668

Results
Total magnetic moment   0.002 μB per cell
ΔE_f   -370 meV/atom
Space group   P-3m1 (164)
Uncorrected energy   -44.41 eV/cell
Polymorph energy (0 for the lowest one)   0 meV per atom

---

No. 8
# Cs2LaTl

An optimized crystal structure of Cs2LaTl (PBE, Alexandria via LeMat-Bulk).

Cell: 6.319 6.319 6.319 Å, 60.00 60.00 60.00°
Fractional positions:
Cs1 0.250 0.250 0.250
Cs2 0.750 0.750 0.750
Tl1 0.500 0.500 0.500
La1 0.000 0.000 0.000

Results
Total magnetic moment   0.000 μB per cell
ΔE_f   566 meV/atom
Space group   Fm-3m (225)
Uncorrected energy   -6.73 eV/cell

---

No. 9
# ReNi2Hg

An optimized crystal structure of ReNi2Hg (PBE, Alexandria via LeMat-Bulk).

Cell: 4.476 4.476 4.476 Å, 126.09 126.06 79.77°
Fractional positions:
Ni1 0.000 0.000 0.000
Ni2 0.500 0.500 0.000
Hg1 0.750 0.250 0.500
Re1 0.250 0.750 0.500

Results
Total magnetic moment   0.823 μB per cell
ΔE_f   520 meV/atom
Space group   I4/mmm (139)
Uncorrected energy   -22.23 eV/cell

---

No. 10
# Mg2IrOs

An optimized crystal structure of Mg2IrOs (PBE, Alexandria via LeMat-Bulk).

Cell: 4.673 4.673 5.033 Å, 81.53 81.53 34.65°
Fractional positions:
Mg1 0.502 0.502 0.498
Mg2 0.998 0.998 0.002
Ir1 0.250 0.250 0.250
Os1 0.750 0.750 0.750

Results
Total magnetic moment   0.000 μB per cell
ΔE_f   24 meV/atom
Space group   C2/m (12)
Uncorrected energy   -23.18 eV/cell
Polymorph energy (0 for the lowest one)   103 meV per atom

---

No. 11
# TcIr2O

An optimized crystal structure of TcIr2O (PBE, Alexandria via LeMat-Bulk).

Cell: 5.742 5.742 5.586 Å, 59.08 59.08 90.00°
Fractional positions:
O1 0.250 0.750 0.500
O2 0.500 0.500 0.000
Ir1 0.875 0.833 0.750
Ir2 0.375 0.417 0.750
Ir3 0.583 0.125 0.250
Ir4 0.167 0.625 0.250
Tc1 0.000 0.000 0.000
Tc2 0.750 0.250 0.500

Results
Total magnetic moment   0.000 μB per cell
Space group   I-42d (122)
Uncorrected energy   -61.24 eV/cell
Energy relative to the elements, uncorrected   2.4 eV per formula unit

---

No. 12
# CrGaFe4

An optimized crystal structure of CrGaFe4 (PBE, Alexandria via LeMat-Bulk).

Cell: 4.719 4.719 4.719 Å, 60.00 60.00 60.00°
Fractional positions:
Fe1 0.123 0.626 0.626
Fe2 0.626 0.626 0.123
Fe3 0.626 0.626 0.626
Fe4 0.626 0.123 0.626
Cr1 0.250 0.250 0.250
Ga1 0.000 0.000 0.000

Results
Total magnetic moment   4.722 μB per cell
ΔE_f   69 meV/atom
Space group   F-43m (216)
Uncorrected energy   -46.09 eV/cell
Polymorph energy (0 for the lowest one)   77 meV per atom

---

The highest total magnetic moment belongs to which entry?
Pu2TiZn